Entry 1:
BaZrSi: single point on PBEsol structure, meta-GGA SCAN.

Its raw formation energy is 0.02 eV per formula unit. The density is 4.8 g/cm³. The total energy is -80.24 eV for the cell shown.

The space group is P3m1 (No. 156) and the conventional cell measures 4.5892, 4.5892 and 4.8929 Å, with angles of 90.00, 90.00 and 120.00 degrees. The inequivalent atoms are Ba at (0.0000, 0.0000, 0.0000), Zr at (0.6667, 0.3333, 0.5128) and Si at (0.3333, 0.6667, 0.4582).

Entry 2:
Ba2ZrSi: single point on PBEsol structure, meta-GGA SCAN.

Its raw formation energy is 1.65 eV per formula unit. The density is 5.8 g/cm³. The total energy is -236.32 eV for the cell shown.

The space group is Immm (No. 71) and the conventional cell measures 4.609, 4.609 and 10.675 Å, with angles of 90.00, 90.00 and 90.00 degrees. The inequivalent atoms are Ba at (0.000, 0.000, 0.249), Zr at (0.000, 0.500, 0.000) and Si at (0.000, 0.500, 0.500).

Entry 3:
BaZr2Si: single point on PBEsol structure, meta-GGA SCAN.

Its raw formation energy is 1.56 eV per formula unit. The density is 6.4 g/cm³. The total energy is -218.80 eV for the cell shown.

The space group is I-4m2 (No. 119) and the conventional cell measures 4.456, 4.456 and 9.164 Å, with angles of 90.00, 90.00 and 90.00 degrees. The inequivalent atoms are Ba at (0.000, 0.000, 0.000), Zr at (0.000, 0.000, 0.500), Zr at (0.000, 0.500, 0.750) and Si at (0.000, 0.500, 0.250).

Entry 4:
Ba3Sm: single point on PBEsol structure, meta-GGA SCAN.

The density is 4.9 g/cm³. The total energy is -162.06 eV for the cell shown.

The space group is Pm-3m (No. 221) and the conventional cell measures 5.739, 5.739 and 5.739 Å, with angles of 90.00, 90.00 and 90.00 degrees. The inequivalent atoms are Ba at (0.000, 0.000, 0.500) and Sm at (0.500, 0.500, 0.500).